# Ti3NbOs2 | Alexandria | GGA-PBE | relaxed
data_Ti3NbOs2
_chemical_formula_sum 'Ti3 Nb1 Os2'
_symmetry_space_group_name_H-M 'P 4/m m m'
_symmetry_Int_Tables_number 123
_symmetry_space_group_name_Hall '-P 4 2'
_cell_length_a 3.093
_cell_length_b 3.093
_cell_length_c 9.818
_cell_angle_alpha 90.00
_cell_angle_beta 90.00
_cell_angle_gamma 90.00
loop_
_atom_site_label
_atom_site_fract_x
_atom_site_fract_y
_atom_site_fract_z
Ti1 0.000 0.000 0.000
Ti2 0.000 0.000 0.314
Nb1 0.500 0.500 0.500
Os1 0.500 0.500 0.159
# formation enthalpy at 0 K	-0.48	eV per atom